(1)
DFT (PBEsol) results for a relaxed Li3Nb2VO6 crystal.

Unit cell a=2.8615 b=6.1028 c=6.8885 alpha=106.16 beta=101.99 gamma=90.00
Closest atoms and distances in Å follow each position.
Sites, in units of the cell vectors:
Li: 0.0000 0.0000 0.0000  6 O 2.01-2.18
Li: 0.6571 0.3393 0.3142  5 O 2.04-2.15
Li: 0.3429 0.6607 0.6858  5 O 2.04-2.15
Nb: 0.6756 0.8526 0.3512  6 O 2.14-2.21
Nb: 0.3244 0.1474 0.6488  6 O 2.14-2.21
V: 0.0000 0.5000 0.0000  6 O 2.01-2.05
O: 0.1583 0.5846 0.3165  1 V 2.05, 2 Li 2.07, 2 Nb 2.14
O: 0.8417 0.4154 0.6835  1 V 2.05, 2 Li 2.07, 2 Nb 2.14
O: 0.8441 0.8988 0.6883  3 Li 2.01-2.04, 3 Nb 2.16-2.21
O: 0.1559 0.1012 0.3117  3 Li 2.01-2.04, 3 Nb 2.16-2.21
O: 0.4912 0.2644 0.9825  2 V 2.01, 3 Li 2.15-2.18, 1 Nb 2.16
O: 0.5088 0.7356 0.0175  2 V 2.01, 3 Li 2.15-2.18, 1 Nb 2.16



(2)
DFT (PBEsol) results for a relaxed Li3NbV3O8 crystal.

Unit cell a=5.6608 b=5.6597 c=5.9933 alpha=61.84 beta=61.82 gamma=59.99
Closest atoms and distances in Å follow each position.
Sites, in units of the cell vectors:
Li: 0.0000 0.5000 0.5000  6 O 2.11
Li: 0.5000 0.0000 0.5000  6 O 2.11
Li: 0.0000 0.0000 0.5000  6 O 2.11
Nb: 0.0000 0.0000 0.0000  6 O 2.05
V: 0.5000 0.0000 0.0000  6 O 2.01
V: 0.0000 0.5000 0.0000  6 O 2.01
V: 0.5000 0.5000 0.0000  6 O 2.01
O: 0.7444 0.7443 0.7669  3 V 2.01, 3 Li 2.11
O: 0.2556 0.2557 0.2331  3 V 2.01, 3 Li 2.11
O: 0.2495 0.7385 0.7625  2 V 2.01, 1 Nb 2.05, 2 Li 2.11
O: 0.7505 0.2615 0.2375  2 V 2.01, 1 Nb 2.05, 2 Li 2.11
O: 0.7387 0.2493 0.7625  2 V 2.01, 1 Nb 2.05, 2 Li 2.11
O: 0.2495 0.2493 0.7625  2 V 2.01, 1 Nb 2.05, 2 Li 2.11
O: 0.2613 0.7507 0.2375  2 V 2.01, 1 Nb 2.05, 2 Li 2.11
O: 0.7505 0.7507 0.2375  2 V 2.01, 1 Nb 2.05, 2 Li 2.11



(3)
DFT (PBEsol) results for a relaxed Li3Nb4VO12 crystal.

Unit cell a=5.1005 b=5.5731 c=7.5383 alpha=96.30 beta=90.27 gamma=90.30
Closest atoms and distances in Å follow each position.
Sites, in units of the cell vectors:
Li: 0.5086 0.9327 0.7841  4 O 2.00-2.21
Li: 0.9961 0.4499 0.7831  3 O 1.98-2.02
Li: 0.5000 0.9278 0.2808  3 O 1.94-1.97
Nb: 0.0131 0.0153 0.0016  4 O 1.89-2.07
Nb: 0.4944 0.5104 0.4862  6 O 1.99-2.09
Nb: 0.9961 0.0053 0.5047  6 O 1.92-2.15
Nb: 0.5091 0.5063 0.9820  5 O 1.90-2.03
V: 0.9982 0.3858 0.3051  6 O 2.01-2.06
O: 0.3064 0.2016 0.4047  1 Li 1.97, 2 Nb 2.00-2.11, 1 V 2.06
O: 0.1372 0.0348 0.7426  2 Nb 1.92-2.07, 1 Li 2.01
O: 0.3237 0.8512 0.0493  1 Nb 1.89, 1 Li 1.96
O: 0.1710 0.7000 0.4045  2 Nb 2.00-2.09, 1 V 2.02
O: 0.8021 0.7265 0.9203  2 Nb 1.97-2.02, 1 Li 2.02
O: 0.3662 0.5336 0.7359  1 Li 1.99, 2 Nb 1.99-2.01
O: 0.6526 0.5350 0.2347  2 Nb 2.03-2.08, 1 V 2.05
O: 0.1754 0.3675 0.0659  2 Nb 2.00-2.13, 1 V 2.01
O: 0.8304 0.3470 0.5488  1 Li 1.98, 2 Nb 2.02-2.08, 1 V 2.06
O: 0.7002 0.2219 0.9080  1 Nb 1.90, 1 Li 2.02
O: 0.8506 0.0474 0.2421  1 Li 1.94, 2 Nb 1.99-2.15, 1 V 2.03
O: 0.6686 0.8409 0.5452  2 Nb 1.94-2.04, 1 Li 2.00



(4)
DFT (PBEsol) results for a relaxed Li2NbV3O8 crystal.

Unit cell a=8.2956 b=8.2956 c=8.2956 alpha=90.00 beta=90.00 gamma=90.00
Closest atoms and distances in Å follow each position.
Sites, in units of the cell vectors:
Li: 0.0000 0.0000 0.0000  4 O 1.89-1.94
Li: 0.2500 0.2500 0.2500  4 O 1.89-1.94
Li: 0.2500 0.7500 0.7500  4 O 1.89-1.94
Li: 0.5000 0.0000 0.5000  4 O 1.89-1.94
Li: 0.5000 0.5000 0.0000  4 O 1.89-1.94
Li: 0.7500 0.2500 0.7500  4 O 1.89-1.94
Li: 0.7500 0.7500 0.2500  4 O 1.89-1.94
Li: 0.0000 0.5000 0.5000  4 O 1.89-1.94
Nb: 0.1250 0.8750 0.3750  6 O 2.04
Nb: 0.3750 0.1250 0.8750  6 O 2.04
Nb: 0.6250 0.6250 0.6250  6 O 2.04
Nb: 0.8750 0.3750 0.1250  6 O 2.04
V: 0.1180 0.1320 0.6250  6 O 1.96-2.00
V: 0.1250 0.3820 0.8680  6 O 1.96-2.00
V: 0.1320 0.6250 0.1180  6 O 1.96-2.00
V: 0.3680 0.3750 0.6180  6 O 1.96-2.00
V: 0.3750 0.6180 0.3680  6 O 1.96-2.00
V: 0.3820 0.8680 0.1250  6 O 1.96-2.00
V: 0.6180 0.3680 0.3750  6 O 1.96-2.00
V: 0.6250 0.1180 0.1320  6 O 1.96-2.00
V: 0.6320 0.8750 0.8820  6 O 1.96-2.00
V: 0.8680 0.1250 0.3820  6 O 1.96-2.00
V: 0.8750 0.8820 0.6320  6 O 1.96-2.00
V: 0.8820 0.6320 0.8750  6 O 1.96-2.00
O: 0.1094 0.1207 0.3846  1 Li 1.94, 2 V 2.00, 1 Nb 2.04
O: 0.1154 0.8906 0.6207  1 Li 1.94, 2 V 2.00, 1 Nb 2.04
O: 0.1182 0.6182 0.8818  1 Li 1.89, 3 V 1.96
O: 0.1293 0.1406 0.8654  1 Li 1.94, 2 V 2.00, 1 Nb 2.04
O: 0.1207 0.3846 0.1094  1 Li 1.94, 2 V 2.00, 1 Nb 2.04
O: 0.1318 0.3682 0.6318  1 Li 1.89, 3 V 1.96
O: 0.1346 0.6293 0.3594  1 Li 1.94, 2 V 2.00, 1 Nb 2.04
O: 0.1406 0.8654 0.1293  1 Li 1.94, 2 V 2.00, 1 Nb 2.04
O: 0.3594 0.1346 0.6293  1 Li 1.94, 2 V 2.00, 1 Nb 2.04
O: 0.3654 0.3707 0.8594  1 Li 1.94, 2 V 2.00, 1 Nb 2.04
O: 0.3682 0.6318 0.1318  1 Li 1.89, 3 V 1.96
O: 0.3793 0.6154 0.6094  1 Li 1.94, 2 V 2.00, 1 Nb 2.04
O: 0.3707 0.8594 0.3654  1 Li 1.94, 2 V 2.00, 1 Nb 2.04
O: 0.3818 0.3818 0.3818  1 Li 1.89, 3 V 1.96
O: 0.3846 0.1094 0.1207  1 Li 1.94, 2 V 2.00, 1 Nb 2.04
O: 0.3906 0.8793 0.8846  1 Li 1.94, 2 V 2.00, 1 Nb 2.04
O: 0.6094 0.3793 0.6154  1 Li 1.94, 2 V 2.00, 1 Nb 2.04
O: 0.6154 0.6094 0.3793  1 Li 1.94, 2 V 2.00, 1 Nb 2.04
O: 0.6182 0.8818 0.1182  1 Li 1.89, 3 V 1.96
O: 0.6293 0.3594 0.1346  1 Li 1.94, 2 V 2.00, 1 Nb 2.04
O: 0.6207 0.1154 0.8906  1 Li 1.94, 2 V 2.00, 1 Nb 2.04
O: 0.6318 0.1318 0.3682  1 Li 1.89, 3 V 1.96
O: 0.6346 0.8707 0.6406  1 Li 1.94, 2 V 2.00, 1 Nb 2.04
O: 0.6406 0.6346 0.8707  1 Li 1.94, 2 V 2.00, 1 Nb 2.04
O: 0.8594 0.3654 0.3707  1 Li 1.94, 2 V 2.00, 1 Nb 2.04
O: 0.8654 0.1293 0.1406  1 Li 1.94, 2 V 2.00, 1 Nb 2.04
O: 0.8682 0.8682 0.8682  1 Li 1.89, 3 V 1.96
O: 0.8793 0.8846 0.3906  1 Li 1.94, 2 V 2.00, 1 Nb 2.04
O: 0.8707 0.6406 0.6346  1 Li 1.94, 2 V 2.00, 1 Nb 2.04
O: 0.8818 0.1182 0.6182  1 Li 1.89, 3 V 1.96
O: 0.8846 0.3906 0.8793  1 Li 1.94, 2 V 2.00, 1 Nb 2.04
O: 0.8906 0.6207 0.1154  1 Li 1.94, 2 V 2.00, 1 Nb 2.04

Properties
Offset from the most stable computed form (eV per formula unit): 0.190



(5)
DFT (PBEsol) results for a relaxed Li3NbV2O6 crystal.

Unit cell a=5.6276 b=6.6207 c=6.7520 alpha=100.29 beta=115.57 gamma=102.03
Closest atoms and distances in Å follow each position.
Sites, in units of the cell vectors:
Li: 0.0000 0.0000 0.5000  6 O 1.95-2.13
Li: 0.5000 0.0000 0.5000  4 O 1.95-2.07
Li: 0.9945 0.6652 0.1664  6 O 1.98-2.20
Li: 0.4974 0.6523 0.1838  5 O 2.00-2.13
Li: 0.0055 0.3348 0.8336  6 O 1.98-2.20
Li: 0.5026 0.3477 0.8162  5 O 2.00-2.13
Nb: 0.2652 0.9902 0.9943  6 O 2.09-2.16
Nb: 0.7348 0.0098 0.0057  6 O 2.09-2.16
V: 0.7855 0.6580 0.6630  6 O 1.89-2.11
V: 0.7704 0.3198 0.3189  6 O 1.95-2.14
V: 0.2296 0.6802 0.6811  6 O 1.95-2.14
V: 0.2145 0.3420 0.3370  6 O 1.89-2.11
O: 0.1285 0.6550 0.9312  3 Li 1.98-2.05, 2 V 2.00-2.02, 1 Nb 2.09
O: 0.6187 0.6708 0.8868  2 Li 2.00-2.16, 2 V 2.05-2.09, 1 Nb 2.10
O: 0.8715 0.3451 0.0688  3 Li 1.98-2.05, 2 V 2.00-2.02, 1 Nb 2.09
O: 0.3813 0.3292 0.1132  2 Li 2.00-2.16, 2 V 2.05-2.09, 1 Nb 2.10
O: 0.1203 0.3429 0.5820  3 V 1.94-2.09, 3 Li 2.04-2.12
O: 0.6228 0.3538 0.5625  2 V 1.89-2.11, 1 Li 2.10
O: 0.8797 0.6571 0.4180  3 V 1.94-2.09, 3 Li 2.04-2.12
O: 0.3772 0.6462 0.4375  2 V 1.89-2.11, 1 Li 2.10
O: 0.1346 0.0211 0.2521  1 V 2.00, 3 Li 2.07-2.20, 2 Nb 2.12-2.16
O: 0.6353 0.9978 0.2780  3 Li 1.95-2.13, 1 V 2.03, 2 Nb 2.12-2.15
O: 0.8654 0.9789 0.7479  1 V 2.00, 3 Li 2.07-2.20, 2 Nb 2.12-2.16
O: 0.3647 0.0022 0.7220  3 Li 1.95-2.13, 1 V 2.03, 2 Nb 2.12-2.15

Properties
Offset from the most stable computed form (eV per formula unit): 0.000



(6)
DFT (PBEsol) results for a relaxed Li2NbV3O8 crystal.

Unit cell a=5.7888 b=5.7888 c=9.6996 alpha=90.00 beta=90.00 gamma=120.00
Closest atoms and distances in Å follow each position.
Sites, in units of the cell vectors:
Li: 0.3333 0.6667 0.6029  4 O 1.90-1.94
Li: 0.0000 0.0000 0.5082  4 O 1.82-1.96
Li: 0.0000 0.0000 0.0082  4 O 1.82-1.96
Li: 0.6667 0.3333 0.1029  4 O 1.90-1.94
Nb: 0.3333 0.6667 0.0080  6 O 1.97-2.10
Nb: 0.6667 0.3333 0.5080  6 O 1.97-2.10
V: 0.1757 0.8243 0.2845  6 O 1.95-2.06
V: 0.6485 0.8243 0.2845  6 O 1.95-2.06
V: 0.1757 0.3515 0.2845  6 O 1.95-2.06
V: 0.8243 0.6485 0.7845  6 O 1.95-2.06
V: 0.3515 0.1757 0.7845  6 O 1.95-2.06
V: 0.8243 0.1757 0.7845  6 O 1.95-2.06
O: 0.1659 0.8341 0.9014  1 Li 1.96, 1 Nb 1.97, 2 V 2.06
O: 0.4849 0.9698 0.1570  1 Li 1.90, 2 V 1.98, 1 Nb 2.10
O: 0.3333 0.6667 0.4024  1 Li 1.94, 3 V 1.95
O: 0.0000 0.0000 0.1962  1 Li 1.82, 3 V 1.96
O: 0.0000 0.0000 0.6962  1 Li 1.82, 3 V 1.96
O: 0.6682 0.8341 0.9014  1 Li 1.96, 1 Nb 1.97, 2 V 2.06
O: 0.0302 0.5151 0.1570  1 Li 1.90, 2 V 1.98, 1 Nb 2.10
O: 0.4849 0.5151 0.1570  1 Li 1.90, 2 V 1.98, 1 Nb 2.10
O: 0.8341 0.6682 0.4014  1 Li 1.96, 1 Nb 1.97, 2 V 2.06
O: 0.1659 0.3318 0.9014  1 Li 1.96, 1 Nb 1.97, 2 V 2.06
O: 0.5151 0.4849 0.6570  1 Li 1.90, 2 V 1.98, 1 Nb 2.10
O: 0.9698 0.4849 0.6570  1 Li 1.90, 2 V 1.98, 1 Nb 2.10
O: 0.6667 0.3333 0.9024  1 Li 1.94, 3 V 1.95
O: 0.3318 0.1659 0.4014  1 Li 1.96, 1 Nb 1.97, 2 V 2.06
O: 0.5151 0.0302 0.6570  1 Li 1.90, 2 V 1.98, 1 Nb 2.10
O: 0.8341 0.1659 0.4014  1 Li 1.96, 1 Nb 1.97, 2 V 2.06

Properties
Offset from the most stable computed form (eV per formula unit): 0.000



no.,formation energy from raw total energies (eV/atom)
1,-2.253
2,-2.234
3,-2.419
4,-2.335
5,-2.279
6,-2.348